Record 1
This record from Alexandria via LeMat-Bulk describes a geometry-optimized V3GaSi structure. The functional is PBE.

Summary:
- offset from the most stable computed form (meV per atom) = 822

```
data_V3GaSi
_space_group_name_H-M_alt 'P m -3 m'
_space_group_IT_number 221
_space_group_name_Hall '-P 4 2 3'
_cell_length_a 4.4177
_cell_length_b 4.4177
_cell_length_c 4.4177
_cell_angle_alpha 90.00
_cell_angle_beta 90.00
_cell_angle_gamma 90.00
loop_
_atom_site_label
_atom_site_type_symbol
_atom_site_fract_x
_atom_site_fract_y
_atom_site_fract_z
V1 V 0.0000 0.0000 0.5000
Ga1 Ga 0.5000 0.5000 0.5000
Si1 Si 0.0000 0.0000 0.0000
```

=====

Record 2
This record from Alexandria via LeMat-Bulk describes a geometry-optimized V7Ga3Si structure. The functional is PBE.

```
data_V7Ga3Si
_space_group_name_H-M_alt 'C m c m'
_space_group_IT_number 63
_space_group_name_Hall '-C 2c 2'
_cell_length_a 2.5663
_cell_length_b 20.0640
_cell_length_c 12.4235
_cell_angle_alpha 90.00
_cell_angle_beta 90.00
_cell_angle_gamma 90.00
loop_
_atom_site_label
_atom_site_type_symbol
_atom_site_fract_x
_atom_site_fract_y
_atom_site_fract_z
V1 V 0.0000 0.0343 0.0857
V2 V 0.0000 0.0917 0.6044
V3 V 0.0000 0.1084 0.2500
V4 V 0.0000 0.2210 0.5871
Ga1 Ga 0.0000 0.3318 0.2500
Ga2 Ga 0.0000 0.3488 0.5677
Si1 Si 0.0000 0.4867 0.2500
```

=====

Record 3
This record from Alexandria via LeMat-Bulk describes a geometry-optimized V5GaSi structure. The functional is PBE.

```
data_V5GaSi
_space_group_name_H-M_alt 'C 1 2/c 1'
_space_group_IT_number 15
_space_group_name_Hall '-C 2yc'
_cell_length_a 6.0515
_cell_length_b 7.1980
_cell_length_c 9.2883
_cell_angle_alpha 90.00
_cell_angle_beta 106.25
_cell_angle_gamma 90.00
loop_
_atom_site_label
_atom_site_type_symbol
_atom_site_fract_x
_atom_site_fract_y
_atom_site_fract_z
V1 V 0.0000 0.1493 0.2500
V2 V 0.0999 0.4668 0.1444
V3 V 0.1763 0.1010 0.0426
Ga1 Ga 0.0000 0.2113 0.7500
Si1 Si 0.2500 0.2500 0.5000
```

=====

Record 4
This record from Alexandria via LeMat-Bulk describes a geometry-optimized V6Ga3Si structure. The functional is PBE.

```
data_V6Ga3Si
_space_group_name_H-M_alt 'C m c 21'
_space_group_IT_number 36
_space_group_name_Hall 'C 2c -2'
_cell_length_a 7.5792
_cell_length_b 13.0386
_cell_length_c 5.9303
_cell_angle_alpha 90.00
_cell_angle_beta 90.00
_cell_angle_gamma 90.00
loop_
_atom_site_label
_atom_site_type_symbol
_atom_site_fract_x
_atom_site_fract_y
_atom_site_fract_z
V1 V 0.0000 0.0457 0.0000
V2 V 0.0000 0.2572 0.7013
V3 V 0.1851 0.4198 0.7677
V4 V 0.2152 0.2344 0.9929
Ga1 Ga 0.0000 0.4025 0.3775
Ga2 Ga 0.1973 0.0964 0.6721
Si1 Si 0.0000 0.1715 0.3105
```

=====

In the order shown, the computed formation energy without anion corrections values come out to 0.600 0.012 -0.072 -0.011 eV/atom.
In the order shown, the computed mass density values come out to 4.83 6.17 6.03 6.15 g cm⁻³.
In the order shown, the computed M_tot values come out to 0.76 0.00 0.00 0.00 μB/atom.